1.
A plane-wave DFT calculation with SCAN was carried out for a PBEsol-optimized structure of K2BaIr.

Its excess energy over the best structure of this formula in the dataset is 0.122 eV per atom. The calculation puts the formation energy at 0.514 eV/atom.

It has space group I4/mmm (No. 139), with a = 4.674 Å, b = 4.674 Å, c = 11.205 Å, α = 90.00°, β = 90.00° and γ = 90.00°. The asymmetric unit holds K at (0.000, 0.500, 0.250), Ba at (0.000, 0.000, 0.000) and Ir at (0.000, 0.000, 0.500).

***

2.
A plane-wave DFT calculation with SCAN was carried out for a PBEsol-optimized structure of MoAs2Ir.

Its excess energy over the best structure of this formula in the dataset is 0.000 eV per atom. The calculation puts the formation energy at 0.089 eV/atom.

It has space group P4/mmm (No. 123), with a = 3.108 Å, b = 3.108 Å, c = 6.090 Å, α = 90.00°, β = 90.00° and γ = 90.00°. The asymmetric unit holds Mo at (0.000, 0.000, 0.000), As at (0.500, 0.500, 0.239) and Ir at (0.000, 0.000, 0.500).

***

3.
A plane-wave DFT calculation with SCAN was carried out for a PBEsol-optimized structure of SrCd2Cu.

The calculation puts the formation energy at -0.085 eV/atom.

It has space group P2/m (No. 10), with a = 4.260 Å, b = 4.528 Å, c = 5.330 Å, α = 90.00°, β = 107.93° and γ = 90.00°. The asymmetric unit holds Sr at (0.000, 0.000, 0.000), Cd at (0.344, 0.500, 0.700) and Cu at (0.500, 0.000, 0.500).

***

4.
A plane-wave DFT calculation with SCAN was carried out for a PBEsol-optimized structure of YCu2Ni.

Its excess energy over the best structure of this formula in the dataset is 0.167 eV per atom. The calculation puts the formation energy at -0.067 eV/atom.

It has space group P4mm (No. 99), with a = 3.201 Å, b = 3.201 Å, c = 5.835 Å, α = 90.00°, β = 90.00° and γ = 90.00°. The asymmetric unit holds Y at (0.000, 0.000, 0.000), Cu at (0.000, 0.000, 0.511), Cu at (0.500, 0.500, 0.316) and Ni at (0.500, 0.500, 0.721).

***

5.
A plane-wave DFT calculation with SCAN was carried out for a PBEsol-optimized structure of Li2CdSe.

The calculation puts the uncorrected formation energy at -2.6 eV/f.u.

It has space group Imm2 (No. 44), with a = 3.285 Å, b = 3.915 Å, c = 12.503 Å, α = 90.00°, β = 90.00° and γ = 90.00°. The asymmetric unit holds Li at (0.000, 0.000, 0.000), Li at (0.000, 0.500, 0.180), Cd at (0.000, 0.000, 0.366) and Se at (0.000, 0.500, 0.659).

***

6.
A plane-wave DFT calculation with SCAN was carried out for a PBEsol-optimized structure of ScAl2As.

The calculation puts the formation energy at -0.068 eV/atom.

It has space group R-3m (No. 166, hexagonal axes), with a = 3.3191 Å, b = 3.3191 Å, c = 24.5287 Å, α = 90.00°, β = 90.00° and γ = 120.00°. The asymmetric unit holds Sc at (0.0000, 0.0000, 0.0000), Al at (0.0000, 0.0000, 0.2398) and As at (0.0000, 0.0000, 0.5000).

***

no.,total moment (Bohr magnetons per cell)
1,0.00
2,0.00
3,0.00
4,0.00
5,0.00
6,0.01